Entry w
DFT (PBE) results for a geometry-optimized Pm2Ge structure.

Total magnetic moment = 0.02 μB/cell
ρ = 7.12 g/cm3

The structure in POSCAR format:
```
Pm2Ge
1.0
0.000 4.389 4.389
4.389 0.000 4.389
4.389 4.389 0.000
Pm Ge
4 2
Direct
0.000 0.000 0.000
0.000 0.000 0.500
0.000 0.500 0.000
0.500 0.000 0.000
0.375 0.375 0.375
0.625 0.625 0.625
```



Entry x
DFT (PBE) results for a geometry-optimized Pm2Ge structure.

Total magnetic moment = 0.34 μB/cell
ρ = 2.30 g/cm3

The structure in POSCAR format:
```
Pm2Ge
1.0
0.000 6.397 6.397
6.397 0.000 6.397
6.397 6.397 0.000
Pm Ge
4 2
Direct
0.000 0.000 0.000
0.000 0.000 0.500
0.000 0.500 0.000
0.500 0.000 0.000
0.125 0.125 0.125
0.875 0.875 0.875
```



Top of the stability list: entry w, leading by 68.3 kJ/mol of atoms.



Entry w
DFT (PBE) results for a geometry-optimized PmTaGe structure.

Total magnetic moment = 3.08 μB/cell
ρ = 7.93 g/cm3

The structure in POSCAR format:
```
PmTaGe
1.0
0.000 3.468 3.468
3.468 0.000 3.468
3.468 3.468 0.000
Pm Ta Ge
1 1 1
Direct
0.000 0.000 0.000
0.250 0.250 0.250
0.750 0.750 0.750
```



Entry x
DFT (PBE) results for a geometry-optimized PmTaGe structure.

Total magnetic moment = 0.19 μB/cell
ρ = 9.29 g/cm3

The structure in POSCAR format:
```
PmTaGe
1.0
0.000 3.290 3.290
3.290 0.000 3.290
3.290 3.290 0.000
Pm Ta Ge
1 1 1
Direct
0.000 0.000 0.000
0.500 0.500 0.500
0.250 0.250 0.250
```



Top of the stability list: entry x, leading by 95.9 kJ/mol of atoms.



Entry w
DFT (PBE) results for a geometry-optimized PmZnGe structure.

Total magnetic moment = 0.00 μB/cell
ρ = 5.92 g/cm3

The structure in POSCAR format:
```
PmZnGe
1.0
0.000 3.411 3.411
3.411 0.000 3.411
3.411 3.411 0.000
Pm Zn Ge
1 1 1
Direct
0.000 0.000 0.000
0.250 0.250 0.250
0.750 0.750 0.750
```



Entry x
DFT (PBE) results for a geometry-optimized PmZnGe structure.

Total magnetic moment = 0.00 μB/cell
ρ = 6.88 g/cm3

The structure in POSCAR format:
```
PmZnGe
1.0
0.000 3.244 3.244
3.244 0.000 3.244
3.244 3.244 0.000
Pm Zn Ge
1 1 1
Direct
0.000 0.000 0.000
0.750 0.750 0.750
0.500 0.500 0.500
```



Top of the stability list: entry x, leading by 27.0 kJ/mol of atoms.



Entry w
DFT (PBE) results for a geometry-optimized PrSc2Ge2 structure.

Total magnetic moment = 0.52 μB/cell
ρ = 5.41 g/cm3

The structure in POSCAR format:
```
PrSc2Ge2
1.0
-2.184 2.184 6.048
2.184 -2.184 6.048
2.184 2.184 -6.048
Pr Sc Ge
1 2 2
Direct
0.000 0.000 0.000
0.250 0.750 0.500
0.750 0.250 0.500
0.394 0.394 0.000
0.606 0.606 0.000
```



Entry x
DFT (PBE) results for a geometry-optimized PrSc2Ge2 structure.

Total magnetic moment = 0.00 μB/cell
ρ = 5.04 g/cm3

The structure in POSCAR format:
```
PrSc2Ge2
1.0
-2.459 2.459 5.120
2.459 -2.459 5.120
2.459 2.459 -5.120
Pr Sc Ge
1 2 2
Direct
0.000 0.000 0.000
0.342 0.342 0.000
0.658 0.658 0.000
0.250 0.750 0.500
0.750 0.250 0.500
```



Top of the stability list: entry w, leading by 32.7 kJ/mol of atoms.